[1]
Material: ReTc2N
Method: DFT, GGA-PBE
State: optimized geometry

Cell lengths 2.773, 2.773, 7.619 Å; angles 79.52, 79.52, 60.00 degrees
Sites, in units of the cell vectors:
Re 0.500 0.500 0.500
Tc 0.269 0.269 0.193
Tc 0.731 0.731 0.807
N 0.000 0.000 0.000

Spin magnetization (μB per cell): 0.0
Formation energy (no corrections) (eV/atom): 0.16
SG: R-3m

[2]
Material: Re2TcN
Method: DFT, GGA-PBE
State: optimized geometry

Cell lengths 5.034, 5.034, 6.195 Å; angles 66.03, 66.03, 90.00 degrees
Sites, in units of the cell vectors:
Re 0.542 0.125 0.250
Re 0.875 0.792 0.750
Re 0.375 0.458 0.750
Re 0.208 0.625 0.250
Tc 0.750 0.250 0.500
Tc 0.000 0.000 0.000
N 0.500 0.500 0.000
N 0.250 0.750 0.500

Spin magnetization (μB per cell): 0.0
Formation energy (no corrections) (eV/atom): 0.64
SG: I-42d

[3]
Material: ReTcTeN2
Method: DFT, GGA-PBE
State: optimized geometry

Cell lengths 3.874, 3.874, 5.766 Å; angles 90.00, 90.00, 90.00 degrees
Sites, in units of the cell vectors:
N 0.000 0.500 0.000
N 0.500 0.000 0.000
Te 0.000 0.000 0.500
Tc 0.000 0.000 0.000
Re 0.500 0.500 0.500

Spin magnetization (μB per cell): 3.4
Formation energy (no corrections) (eV/atom): 1.35
SG: P4/mmm
Energy relative to the lowest polymorph listed for this composition (eV per formula unit): 1.97

[4]
Material: ReTcTeN2
Method: DFT, GGA-PBE
State: optimized geometry

Cell lengths 3.877, 3.877, 5.794 Å; angles 90.00, 90.00, 90.00 degrees
Sites, in units of the cell vectors:
Tc 0.500 0.500 0.500
N 0.500 0.000 0.000
N 0.000 0.500 0.000
Te 0.000 0.000 0.500
Re 0.000 0.000 0.000

Spin magnetization (μB per cell): 3.5
Formation energy (no corrections) (eV/atom): 0.96
SG: P4/mmm
Energy relative to the lowest polymorph listed for this composition (eV per formula unit): 0.00